# Zn2RhI8, optimized geometry, DFT PBE
# Formation energy (no corrections), eV/f.u.: -3.7
data_Zn2RhI8
_cell_length_a 12.033
_cell_length_b 12.264
_cell_length_c 7.055
_cell_angle_alpha 90.00
_cell_angle_beta 107.76
_cell_angle_gamma 90.00
_space_group_name_H-M_alt 'C 1 2/m 1'
_space_group_IT_number 12
_space_group_name_Hall '-C 2y'
loop_
_atom_site_label
_atom_site_type_symbol
_atom_site_fract_x
_atom_site_fract_y
_atom_site_fract_z
Zn1 Zn 0.197 0.000 0.182
Rh1 Rh 0.000 0.000 0.500
I1 I 0.074 0.500 0.731
I2 I 0.093 0.155 0.321
I3 I 0.205 0.000 0.811